# 1
Crystalline AlCoAs2 at its relaxed geometry, computed with PBE.

a b c (Å): 3.6554 4.8311 7.1718
angles (deg): 90.00 90.00 90.00
Space group Immm (No. 71)
Unique sites:
Al: 0.0000 0.0000 0.0000
Co: 0.0000 0.0000 0.5000
As: 0.0000 0.5000 0.2347

Computed properties:
- Magnetization: 1.3 Bohr magnetons per cell
- DFT formation energy: 0.19 eV per atom
- N(E_F): 5.50 states/eV/cell
- V: 126.6 Å³ per cell
- Uncorrected energy: -4.842 eV/atom

# 2
Crystalline Al2CoAs at its relaxed geometry, computed with PBE.

a b c (Å): 2.9400 2.9400 24.0583
angles (deg): 90.00 90.00 120.00
Space group R-3m (No. 166, hexagonal axes)
Unique sites:
Al: 0.0000 0.0000 0.2379
Co: 0.0000 0.0000 0.5000
As: 0.0000 0.0000 0.0000

Computed properties:
- Magnetization: 1.3 Bohr magnetons per cell
- DFT formation energy: -0.11 eV per atom
- N(E_F): 3.22 states/eV/cell
- V: 180.1 Å³ per cell
- Uncorrected energy: -4.918 eV/atom

# 3
Crystalline AlCoAs2 at its relaxed geometry, computed with PBE.

a b c (Å): 4.3547 4.3645 7.4135
angles (deg): 90.00 90.00 90.00
Space group Amm2 (No. 38)
Unique sites:
Al: 0.0000 0.0000 0.0000
Co: 0.5000 0.0000 0.8377
As: 0.0000 0.0000 0.6686
As: 0.5000 0.0000 0.1945

Computed properties:
- Magnetization: 0.0 Bohr magnetons per cell
- DFT formation energy: -0.08 eV per atom
- N(E_F): 3.67 states/eV/cell
- V: 140.9 Å³ per cell
- Uncorrected energy: -5.115 eV/atom

# 4
Crystalline Al2CoAs at its relaxed geometry, computed with PBE.

a b c (Å): 2.7259 4.0926 11.1750
angles (deg): 90.00 90.00 90.00
Space group Imm2 (No. 44)
Unique sites:
Al: 0.0000 0.0000 0.0000
Al: 0.0000 0.5000 0.1844
Co: 0.0000 0.0000 0.5010
As: 0.0000 0.5000 0.8157

Computed properties:
- Magnetization: 0.0 Bohr magnetons per cell
- DFT formation energy: -0.22 eV per atom
- N(E_F): 3.67 states/eV/cell
- V: 124.7 Å³ per cell
- Uncorrected energy: -5.029 eV/atom

# 5
Crystalline Al2CoAs at its relaxed geometry, computed with PBE.

a b c (Å): 3.0360 3.0360 22.9639
angles (deg): 90.00 90.00 120.00
Space group R3m (No. 160, hexagonal axes)
Unique sites:
Al: 0.0000 0.0000 0.0000
Al: 0.0000 0.0000 0.2381
Co: 0.0000 0.0000 0.7440
As: 0.0000 0.0000 0.4803

Computed properties:
- Magnetization: 0.7 Bohr magnetons per cell
- DFT formation energy: -0.05 eV per atom
- N(E_F): 8.16 states/eV/cell
- V: 183.3 Å³ per cell
- Uncorrected energy: -4.859 eV/atom

# 6
Crystalline Al2CoAs at its relaxed geometry, computed with PBE.

a b c (Å): 3.8256 3.8256 7.7378
angles (deg): 90.00 90.00 90.00
Space group I4/mmm (No. 139)
Unique sites:
Al: 0.0000 0.5000 0.2500
Co: 0.0000 0.0000 0.0000
As: 0.0000 0.0000 0.5000

Computed properties:
- Magnetization: 0.0 Bohr magnetons per cell
- DFT formation energy: -0.03 eV per atom
- N(E_F): 2.88 states/eV/cell
- V: 113.2 Å³ per cell
- Uncorrected energy: -4.836 eV/atom